# 1
Density functional theory data (PBE) for a geometry-optimized RbCd3AgAu structure.

Summary:
ΔH_f (0 K), eV per formula unit: -0.265
Crystal system: orthorhombic
Raw total energy, eV per atom: -1.6845

```
RbCd3AgAu
1.0
3.837 -7.004 0.000
3.837 7.004 0.000
0.000 0.000 6.530
Rb Cd Ag Au
2 6 2 2
Direct
0.230 0.770 0.750 Rb
0.770 0.230 0.250 Rb
0.201 0.201 0.000 Cd
0.201 0.201 0.500 Cd
0.326 0.674 0.250 Cd
0.674 0.326 0.750 Cd
0.799 0.799 0.000 Cd
0.799 0.799 0.500 Cd
0.479 0.521 0.750 Ag
0.521 0.479 0.250 Ag
0.128 0.872 0.250 Au
0.872 0.128 0.750 Au
```

=====

# 2
Density functional theory data (PBE) for a geometry-optimized Rb2CdAgAu2 structure.

Summary:
ΔH_f (0 K), eV per formula unit: -0.946
Crystal system: orthorhombic
Raw total energy, eV per atom: -2.2004

```
Rb2CdAgAu2
1.0
-3.542 7.149 3.849
3.542 -7.149 3.849
3.542 7.149 -3.849
Rb Cd Ag Au
4 2 2 4
Direct
0.174 0.236 0.410 Rb
0.326 0.736 0.062 Rb
0.674 0.264 0.938 Rb
0.826 0.764 0.590 Rb
0.250 0.750 0.500 Cd
0.750 0.250 0.500 Cd
0.250 0.250 0.000 Ag
0.750 0.750 0.000 Ag
0.076 0.751 0.827 Au
0.424 0.251 0.674 Au
0.576 0.749 0.326 Au
0.924 0.249 0.173 Au
```